Record 1
# PBE-GGA SnHgS2, optimized geometry
# Magnetization, Bohr magnetons per cell: 0.00
# DOS(E_F), states/eV/f.u.: 0.0
# Raw formation energy, eV/atom: -0.2138
# Electronic total energy, eV per atom: -3.354
# Crystal system: monoclinic
data_SnHgS2
_chemical_formula_sum 'Sn16 Hg16 S32'
_cell_length_a 13.2991
_cell_length_b 8.3213
_cell_length_c 14.9356
_cell_angle_alpha 90.00
_cell_angle_beta 100.28
_cell_angle_gamma 90.00
_space_group_name_H-M_alt 'C 1 2/c 1'
_space_group_IT_number 15
loop_
_space_group_symop_operation_xyz
'x,y,z'
'-x,-y,-z'
'-x,y,-z+1/2'
'x,-y,z+1/2'
'x+1/2,y+1/2,z'
'-x+1/2,-y+1/2,-z'
'-x+1/2,y+1/2,-z+1/2'
'x+1/2,-y+1/2,z+1/2'
loop_
_atom_site_label
_atom_site_type_symbol
_atom_site_fract_x
_atom_site_fract_y
_atom_site_fract_z
Sn1 Sn 0.0622 0.1393 0.1375
Sn2 Sn 0.1904 0.1048 0.8712
Hg1 Hg 0.0536 0.3665 0.6174
Hg2 Hg 0.1858 0.3716 0.3835
S1 S 0.0000 0.0801 0.7500
S2 S 0.0000 0.3588 0.2500
S3 S 0.1109 0.1080 0.4737
S4 S 0.1228 0.3923 0.9618
S5 S 0.2234 0.3218 0.7040


Record 2
# PBE-GGA SnHgS2, optimized geometry
# Magnetization, Bohr magnetons per cell: 0.00
# DOS(E_F), states/eV/f.u.: 0.1
# Raw formation energy, eV/atom: -0.2710
# Electronic total energy, eV per atom: -3.411
# Crystal system: monoclinic
data_SnHgS2
_chemical_formula_sum 'Sn2 Hg2 S4'
_cell_length_a 6.3907
_cell_length_b 3.6898
_cell_length_c 9.7827
_cell_angle_alpha 90.00
_cell_angle_beta 102.48
_cell_angle_gamma 90.00
_space_group_name_H-M_alt 'C 1 2 1'
_space_group_IT_number 5
loop_
_space_group_symop_operation_xyz
'x,y,z'
'-x,y,-z'
'x+1/2,y+1/2,z'
'-x+1/2,y+1/2,-z'
loop_
_atom_site_label
_atom_site_type_symbol
_atom_site_fract_x
_atom_site_fract_y
_atom_site_fract_z
Sn1 Sn 0.0000 0.0000 0.0000
Hg1 Hg 0.0000 0.5036 0.5000
S1 S 0.2182 0.5002 0.1556


Record 3
# PBE-GGA SnHgS2, optimized geometry
# Magnetization, Bohr magnetons per cell: 0.00
# DOS(E_F), states/eV/f.u.: 0.0
# Raw formation energy, eV/atom: -0.2098
# Electronic total energy, eV per atom: -3.350
# Crystal system: triclinic
data_SnHgS2
_chemical_formula_sum 'Sn2 Hg2 S4'
_cell_length_a 3.9120
_cell_length_b 6.8081
_cell_length_c 9.1910
_cell_angle_alpha 104.06
_cell_angle_beta 93.62
_cell_angle_gamma 103.91
_space_group_name_H-M_alt 'P 1'
_space_group_IT_number 1
loop_
_space_group_symop_operation_xyz
'x,y,z'
loop_
_atom_site_label
_atom_site_type_symbol
_atom_site_fract_x
_atom_site_fract_y
_atom_site_fract_z
Sn1 Sn 0.0000 0.0000 0.0000
Sn2 Sn 0.3004 0.4545 0.7939
Hg1 Hg 0.5827 0.1340 0.3850
Hg2 Hg 0.6366 0.8027 0.4852
S1 S 0.1521 0.2692 0.2334
S2 S 0.5010 0.0532 0.8441
S3 S 0.7610 0.5217 0.5973
S4 S 0.8526 0.6472 0.0175


Record 4
# PBE-GGA SnHgS2, optimized geometry
# Magnetization, Bohr magnetons per cell: 0.00
# DOS(E_F), states/eV/f.u.: 1.2
# Raw formation energy, eV/atom: -0.0347
# Electronic total energy, eV per atom: -3.175
# Crystal system: orthorhombic
data_SnHgS2
_chemical_formula_sum 'Sn4 Hg4 S8'
_cell_length_a 3.8041
_cell_length_b 21.6999
_cell_length_c 4.8870
_cell_angle_alpha 90.00
_cell_angle_beta 90.00
_cell_angle_gamma 90.00
_space_group_name_H-M_alt 'C m c m'
_space_group_IT_number 63
_space_group_name_Hall '-C 2c 2'
loop_
_atom_site_label
_atom_site_type_symbol
_atom_site_fract_x
_atom_site_fract_y
_atom_site_fract_z
Sn1 Sn 0.0000 0.1829 0.2500
Hg1 Hg 0.0000 0.4400 0.2500
S1 S 0.0000 0.3070 0.2500
S2 S 0.0000 0.4273 0.7500


Record 5
# PBE-GGA Sn2HgS6, optimized geometry
# Magnetization, Bohr magnetons per cell: 0.00
# DOS(E_F), states/eV/f.u.: 4.2
# Raw formation energy, eV/atom: 0.0735
# Electronic total energy, eV per atom: -3.601
# Crystal system: tetragonal
data_Sn2HgS6
_chemical_formula_sum 'Sn4 Hg2 S12'
_cell_length_a 6.4540
_cell_length_b 6.4540
_cell_length_c 11.0330
_cell_angle_alpha 90.00
_cell_angle_beta 90.00
_cell_angle_gamma 90.00
_space_group_name_H-M_alt 'P 42/m n m'
_space_group_IT_number 136
_space_group_name_Hall '-P 4n 2n'
loop_
_atom_site_label
_atom_site_type_symbol
_atom_site_fract_x
_atom_site_fract_y
_atom_site_fract_z
Sn1 Sn 0.0000 0.0000 0.1633
Hg1 Hg 0.0000 0.0000 0.5000
S1 S 0.1860 0.1860 0.0000
S2 S 0.1868 0.1868 0.3310


Record 6
# PBE-GGA SnHgS2, optimized geometry
# Magnetization, Bohr magnetons per cell: 0.00
# DOS(E_F), states/eV/f.u.: 0.0
# Raw formation energy, eV/atom: -0.0887
# Electronic total energy, eV per atom: -3.229
# Crystal system: monoclinic
data_SnHgS2
_chemical_formula_sum 'Sn4 Hg4 S8'
_cell_length_a 8.6345
_cell_length_b 5.0639
_cell_length_c 12.6551
_cell_angle_alpha 90.00
_cell_angle_beta 121.08
_cell_angle_gamma 90.00
_space_group_name_H-M_alt 'P 1 21/c 1'
_space_group_IT_number 14
loop_
_space_group_symop_operation_xyz
'x,y,z'
'-x,-y,-z'
'-x,y+1/2,-z+1/2'
'x,-y+1/2,z+1/2'
loop_
_atom_site_label
_atom_site_type_symbol
_atom_site_fract_x
_atom_site_fract_y
_atom_site_fract_z
Sn1 Sn 0.0810 0.1672 0.1363
Hg1 Hg 0.4069 0.7155 0.2764
S1 S 0.1647 0.1773 0.8616
S2 S 0.1987 0.5132 0.9638


Record 7
# PBE-GGA SnHgS2, optimized geometry
# Magnetization, Bohr magnetons per cell: 0.00
# DOS(E_F), states/eV/f.u.: 0.0
# Raw formation energy, eV/atom: -0.1315
# Electronic total energy, eV per atom: -3.271
# Crystal system: tetragonal
data_SnHgS2
_chemical_formula_sum 'Sn4 Hg4 S8'
_cell_length_a 6.2839
_cell_length_b 6.2839
_cell_length_c 12.3943
_cell_angle_alpha 90.00
_cell_angle_beta 90.00
_cell_angle_gamma 90.00
_space_group_name_H-M_alt 'I -4 2 d'
_space_group_IT_number 122
_space_group_name_Hall 'I -4 2bw'
loop_
_atom_site_label
_atom_site_type_symbol
_atom_site_fract_x
_atom_site_fract_y
_atom_site_fract_z
Sn1 Sn 0.0000 0.0000 0.0000
Hg1 Hg 0.0000 0.0000 0.5000
S1 S 0.2238 0.2500 0.6250


Record 8
# PBE-GGA Sn2HgS2, optimized geometry
# Magnetization, Bohr magnetons per cell: 0.00
# Raw formation energy, eV/atom: -0.2813
# Electronic total energy, eV per atom: -3.594
# Crystal system: monoclinic
data_Sn2HgS2
_chemical_formula_sum 'Sn8 Hg4 S8'
_cell_length_a 6.3958
_cell_length_b 9.0369
_cell_length_c 10.4065
_cell_angle_alpha 90.00
_cell_angle_beta 102.96
_cell_angle_gamma 90.00
_space_group_name_H-M_alt 'P 1 21/c 1'
_space_group_IT_number 14
loop_
_space_group_symop_operation_xyz
'x,y,z'
'-x,-y,-z'
'-x,y+1/2,-z+1/2'
'x,-y+1/2,z+1/2'
loop_
_atom_site_label
_atom_site_type_symbol
_atom_site_fract_x
_atom_site_fract_y
_atom_site_fract_z
Sn1 Sn 0.1457 0.1082 0.3803
Sn2 Sn 0.2795 0.5815 0.5549
Hg1 Hg 0.4239 0.2333 0.6678
S1 S 0.0503 0.0430 0.8370
S2 S 0.2042 0.6346 0.0385


Record 9
# PBE-GGA SnHgS4, optimized geometry
# Magnetization, Bohr magnetons per cell: 0.00
# DOS(E_F), states/eV/f.u.: 1.8
# Raw formation energy, eV/atom: -0.1211
# Electronic total energy, eV per atom: -3.590
# Crystal system: monoclinic
data_SnHgS4
_chemical_formula_sum 'Sn1 Hg1 S4'
_cell_length_a 6.0734
_cell_length_b 3.7942
_cell_length_c 6.8947
_cell_angle_alpha 90.00
_cell_angle_beta 111.50
_cell_angle_gamma 90.00
_space_group_name_H-M_alt 'P 1 2/m 1'
_space_group_IT_number 10
loop_
_space_group_symop_operation_xyz
'x,y,z'
'-x,-y,-z'
'-x,y,-z'
'x,-y,z'
loop_
_atom_site_label
_atom_site_type_symbol
_atom_site_fract_x
_atom_site_fract_y
_atom_site_fract_z
Sn1 Sn 0.0000 0.0000 0.0000
Hg1 Hg 0.0000 0.5000 0.5000
S1 S 0.2200 0.5000 0.2746
S2 S 0.3496 0.0000 0.8691


Record 10
# PBE-GGA Sn2HgS2, optimized geometry
# Magnetization, Bohr magnetons per cell: 0.00
# DOS(E_F), states/eV/f.u.: 0.0
# Raw formation energy, eV/atom: -0.2538
# Electronic total energy, eV per atom: -3.566
# Crystal system: tetragonal
data_Sn2HgS2
_chemical_formula_sum 'Sn4 Hg2 S4'
_cell_length_a 4.8548
_cell_length_b 4.8548
_cell_length_c 12.8655
_cell_angle_alpha 90.00
_cell_angle_beta 90.00
_cell_angle_gamma 90.00
_space_group_name_H-M_alt 'I 4/m m m'
_space_group_IT_number 139
_space_group_name_Hall '-I 4 2'
loop_
_atom_site_label
_atom_site_type_symbol
_atom_site_fract_x
_atom_site_fract_y
_atom_site_fract_z
Sn1 Sn 0.0000 0.0000 0.1531
Hg1 Hg 0.0000 0.0000 0.5000
S1 S 0.0000 0.5000 0.2500